This record from Alexandria describes FeCl after structural relaxation. The functional is PBE-GGA.

a b c (Å): 3.0971 3.0971 3.0971
angles (deg): 90.00 90.00 90.00
Closest atoms and distances in Å follow each position.
Space group Pm-3m (No. 221)
Inequivalent atoms, fractional coordinates:
Fe 0.0000 0.0000 0.0000  8 Cl 2.68
Cl 0.5000 0.5000 0.5000  8 Fe 2.68

E, eV per atom: -4.762
M_tot, μB/f.u.: 3.027
E_form (uncorrected), eV/atom: 0.3922
DOS(E_F), states/eV/f.u.: 3.2
Volume, Å³ per atom: 14.9

=====

This record from Alexandria describes FeCl after structural relaxation. The functional is PBE-GGA.

a b c (Å): 3.1714 3.1714 7.6991
angles (deg): 90.00 90.00 120.00
Closest atoms and distances in Å follow each position.
Space group P6_3mc (No. 186)
Inequivalent atoms, fractional coordinates:
Fe 0.3333 0.6667 0.0000  4 Cl 2.31-2.39
Cl 0.3333 0.6667 0.3000  4 Fe 2.31-2.39

E, eV per atom: -5.084
M_tot, μB/f.u.: 3.011
E_form (uncorrected), eV/atom: 0.0706
DOS(E_F), states/eV/f.u.: 1.0
Volume, Å³ per atom: 16.8